Entry 1:
A plane-wave DFT calculation with PBE-GGA was carried out for Yb3Ta after structural relaxation.

Lattice parameters (Å, degrees): 5.7698 5.7698 5.7698 130.95 130.95 71.90
With the nearest neighbours (Å) after each atom.
Fractional positions:
Yb  0.5000  0.5000  0.0000  8 Yb 3.35, 4 Ta 3.39
Yb  0.7500  0.2500  0.5000  8 Yb 3.35-3.39, 4 Ta 3.35
Yb  0.2500  0.7500  0.5000  8 Yb 3.35-3.39, 4 Ta 3.35
Ta  0.0000  0.0000  0.0000  12 Yb 3.35-3.39

Properties
Total magnetic moment, μB/atom: 0.23
Symmetry: No. 139
D(E_F), states/eV/cell: 6.814



Entry 2:
A plane-wave DFT calculation with PBE-GGA was carried out for MgCr after structural relaxation.

Lattice parameters (Å, degrees): 4.3356 4.3356 5.8269 90.00 90.00 120.00
With the nearest neighbours (Å) after each atom.
Fractional positions:
Mg  0.3333  0.6667  0.2500  6 Cr 2.90
Mg  0.6667  0.3333  0.7500  6 Cr 2.90
Cr  0.0000  0.0000  0.5000  6 Mg 2.90, 2 Cr 2.91
Cr  0.0000  0.0000  0.0000  6 Mg 2.90, 2 Cr 2.91

Properties
Total magnetic moment, μB/atom: 2.23
Symmetry: No. 194
D(E_F), states/eV/cell: 2.912
ΔE to the lowest computed polymorph, meV/atom: 754.0



Entry 3:
A plane-wave DFT calculation with PBE-GGA was carried out for Cu2TcAs after structural relaxation.

Lattice parameters (Å, degrees): 4.0276 3.6685 3.6685 90.00 90.00 90.00
With the nearest neighbours (Å) after each atom.
Fractional positions:
As  0.5000  0.0000  0.5000  4 Tc 2.59, 8 Cu 2.72
Cu  0.0000  0.0000  0.0000  4 Cu 2.59, 4 As 2.72, 4 Tc 2.72
Cu  0.0000  0.5000  0.5000  4 Cu 2.59, 4 As 2.72, 4 Tc 2.72
Tc  0.5000  0.5000  0.0000  4 As 2.59, 8 Cu 2.72

Properties
Total magnetic moment, μB/atom: 0.00
Symmetry: No. 123
D(E_F), states/eV/cell: 3.374



Number 1: energy of formation 439 meV per atom. Number 2: energy of formation 999 meV per atom. Number 3: energy of formation 186 meV per atom.